# Na2LiBi PBE optimized geometry
# Density of states at the Fermi level: 0.370 states/eV per atom
# M_tot: 0.00 μB/cell
# Energy of formation from the pure elements: -12 kJ per mole of atoms
# Calculated density: 3.8 g/cm³
# Space-group type: I-42d (122)
data_Na2LiBi
_symmetry_space_group_name_H-M 'P 1'
_symmetry_Int_Tables_number 1
_symmetry_space_group_name_Hall 'P 1'
_cell_length_a 4.544
_cell_length_b 4.544
_cell_length_c 11.539
_cell_angle_alpha 78.64
_cell_angle_beta 78.64
_cell_angle_gamma 90.00
loop_
_atom_site_label
_atom_site_type_symbol
_atom_site_fract_x
_atom_site_fract_y
_atom_site_fract_z
_atom_site_occupancy
Na1 Na 0.633 0.125 0.250 1
Na2 Na 0.117 0.625 0.250 1
Na3 Na 0.375 0.367 0.750 1
Na4 Na 0.875 0.883 0.750 1
Bi1 Bi 0.000 0.000 0.000 1
Bi2 Bi 0.750 0.250 0.500 1
Li1 Li 0.500 0.500 0.000 1
Li2 Li 0.250 0.750 0.500 1

# Bi2TeCl PBE optimized geometry
# Density of states at the Fermi level: 0.668 states/eV per atom
# M_tot: 0.00 μB/cell
# Calculated density: 7.6 g/cm³
# Energy relative to the elements, uncorrected: -0.130 eV per atom
# Space-group type: I-42d (122)
data_Bi2TeCl
_symmetry_space_group_name_H-M 'P 1'
_symmetry_Int_Tables_number 1
_symmetry_space_group_name_Hall 'P 1'
_cell_length_a 8.420
_cell_length_b 8.420
_cell_length_c 6.939
_cell_angle_alpha 52.65
_cell_angle_beta 52.65
_cell_angle_gamma 90.00
loop_
_atom_site_label
_atom_site_type_symbol
_atom_site_fract_x
_atom_site_fract_y
_atom_site_fract_z
_atom_site_occupancy
Te1 Te 0.000 0.000 0.000 1
Te2 Te 0.750 0.250 0.500 1
Bi1 Bi 0.625 0.125 0.250 1
Bi2 Bi 0.125 0.625 0.250 1
Bi3 Bi 0.375 0.375 0.750 1
Bi4 Bi 0.875 0.875 0.750 1
Cl1 Cl 0.500 0.500 0.000 1
Cl2 Cl 0.250 0.750 0.500 1

# LaScP2 PBE optimized geometry
# Density of states at the Fermi level: 0.000 states/eV per atom
# M_tot: 0.00 μB/cell
# Energy of formation from the pure elements: -111 kJ per mole of atoms
# Offset from the most stable computed form: 324.9 meV per atom
# Calculated density: 4.0 g/cm³
# Space-group type: I-42d (122)
data_LaScP2
_symmetry_space_group_name_H-M 'P 1'
_symmetry_Int_Tables_number 1
_symmetry_space_group_name_Hall 'P 1'
_cell_length_a 7.158
_cell_length_b 7.158
_cell_length_c 6.423
_cell_angle_alpha 56.14
_cell_angle_beta 56.14
_cell_angle_gamma 90.00
loop_
_atom_site_label
_atom_site_type_symbol
_atom_site_fract_x
_atom_site_fract_y
_atom_site_fract_z
_atom_site_occupancy
Sc1 Sc 0.500 0.500 0.000 1
Sc2 Sc 0.250 0.750 0.500 1
P1 P 0.589 0.125 0.250 1
P2 P 0.161 0.625 0.250 1
P3 P 0.375 0.411 0.750 1
P4 P 0.875 0.839 0.750 1
La1 La 0.000 0.000 0.000 1
La2 La 0.750 0.250 0.500 1

# CaBe2Cd PBE optimized geometry
# Density of states at the Fermi level: 0.490 states/eV per atom
# M_tot: 0.00 μB/cell
# Energy of formation from the pure elements: 41 kJ per mole of atoms
# Calculated density: 3.7 g/cm³
# Space-group type: P2/m (10)
data_CaBe2Cd
_symmetry_space_group_name_H-M 'P 1'
_symmetry_Int_Tables_number 1
_symmetry_space_group_name_Hall 'P 1'
_cell_length_a 4.260
_cell_length_b 3.179
_cell_length_c 5.765
_cell_angle_alpha 79.37
_cell_angle_beta 90.00
_cell_angle_gamma 90.00
loop_
_atom_site_label
_atom_site_type_symbol
_atom_site_fract_x
_atom_site_fract_y
_atom_site_fract_z
_atom_site_occupancy
Be1 Be 0.000 0.920 0.916 1
Be2 Be 0.000 0.580 0.584 1
Ca1 Ca 0.500 0.250 0.250 1
Cd1 Cd 0.500 0.750 0.750 1

# TeOsO4 PBE optimized geometry
# Density of states at the Fermi level: 0.452 states/eV per atom
# M_tot: 0.00 μB/cell
# Calculated density: 8.4 g/cm³
# Energy relative to the elements, uncorrected: -0.794 eV per atom
# Space-group type: I4_1md (109)
data_TeOsO4
_symmetry_space_group_name_H-M 'P 1'
_symmetry_Int_Tables_number 1
_symmetry_space_group_name_Hall 'P 1'
_cell_length_a 5.814
_cell_length_b 5.814
_cell_length_c 5.814
_cell_angle_alpha 69.80
_cell_angle_beta 70.89
_cell_angle_gamma 109.11
loop_
_atom_site_label
_atom_site_type_symbol
_atom_site_fract_x
_atom_site_fract_y
_atom_site_fract_z
_atom_site_occupancy
Te1 Te 0.000 0.244 0.756 1
Te2 Te 0.500 0.494 0.006 1
Os1 Os 0.000 0.746 0.254 1
Os2 Os 0.500 0.996 0.504 1
O1 O 0.705 0.768 0.527 1
O2 O 0.686 0.237 0.077 1
O3 O 0.205 0.723 0.482 1
O4 O 0.186 0.173 0.013 1
O5 O 0.795 0.314 0.482 1
O6 O 0.814 0.800 0.013 1
O7 O 0.314 0.237 0.450 1
O8 O 0.295 0.768 0.936 1

# Li3Tm3PaSe8 PBE optimized geometry
# Density of states at the Fermi level: 0.281 states/eV per atom
# M_tot: 0.98 μB/cell
# Calculated density: 6.2 g/cm³
# Energy relative to the elements, uncorrected: -1.603 eV per atom
# Space-group type: R-3m (166)
data_Li3Tm3PaSe8
_symmetry_space_group_name_H-M 'P 1'
_symmetry_Int_Tables_number 1
_symmetry_space_group_name_Hall 'P 1'
_cell_length_a 8.110
_cell_length_b 8.109
_cell_length_c 8.010
_cell_angle_alpha 120.44
_cell_angle_beta 90.00
_cell_angle_gamma 120.00
loop_
_atom_site_label
_atom_site_type_symbol
_atom_site_fract_x
_atom_site_fract_y
_atom_site_fract_z
_atom_site_occupancy
Li1 Li 0.000 0.000 0.000 1
Li2 Li 0.000 0.500 0.000 1
Li3 Li 0.500 0.500 0.000 1
Tm1 Tm 0.500 0.000 0.500 1
Tm2 Tm 0.500 0.500 0.500 1
Tm3 Tm 0.000 0.500 0.500 1
Pa1 Pa 0.000 0.000 0.500 1
Se1 Se 0.250 0.500 0.250 1
Se2 Se 0.750 0.500 0.750 1
Se3 Se 0.750 0.499 0.251 1
Se4 Se 0.250 0.501 0.749 1
Se5 Se 0.750 0.002 0.251 1
Se6 Se 0.250 0.998 0.749 1
Se7 Se 0.252 0.002 0.251 1
Se8 Se 0.748 0.998 0.749 1

# PaNi6Sn PBE optimized geometry
# Density of states at the Fermi level: 0.497 states/eV per atom
# M_tot: 0.00 μB/cell
# Energy of formation from the pure elements: -30 kJ per mole of atoms
# Calculated density: 10.7 g/cm³
# Space-group type: P-6m2 (187)
data_PaNi6Sn
_symmetry_space_group_name_H-M 'P 1'
_symmetry_Int_Tables_number 1
_symmetry_space_group_name_Hall 'P 1'
_cell_length_a 4.406
_cell_length_b 5.340
_cell_length_c 5.340
_cell_angle_alpha 119.98
_cell_angle_beta 90.00
_cell_angle_gamma 90.00
loop_
_atom_site_label
_atom_site_type_symbol
_atom_site_fract_x
_atom_site_fract_y
_atom_site_fract_z
_atom_site_occupancy
Pa1 Pa 0.000 0.083 0.917 1
Ni1 Ni 0.000 0.069 0.409 1
Ni2 Ni 0.000 0.591 0.931 1
Ni3 Ni 0.000 0.590 0.410 1
Ni4 Ni 0.500 0.438 0.094 1
Ni5 Ni 0.500 0.906 0.562 1
Ni6 Ni 0.500 0.906 0.094 1
Sn1 Sn 0.500 0.416 0.584 1

# BaAs2Pt2 PBE optimized geometry
# Density of states at the Fermi level: 0.572 states/eV per atom
# M_tot: 0.00 μB/cell
# Energy of formation from the pure elements: -24 kJ per mole of atoms
# Calculated density: 10.4 g/cm³
# Space-group type: P4/mbm (127)
data_BaAs2Pt2
_symmetry_space_group_name_H-M 'P 1'
_symmetry_Int_Tables_number 1
_symmetry_space_group_name_Hall 'P 1'
_cell_length_a 8.184
_cell_length_b 8.184
_cell_length_c 3.217
_cell_angle_alpha 90.00
_cell_angle_beta 90.00
_cell_angle_gamma 90.00
loop_
_atom_site_label
_atom_site_type_symbol
_atom_site_fract_x
_atom_site_fract_y
_atom_site_fract_z
_atom_site_occupancy
As1 As 0.367 0.867 0.000 1
As2 As 0.867 0.633 0.000 1
As3 As 0.633 0.133 0.000 1
As4 As 0.133 0.367 0.000 1
Ba1 Ba 0.000 0.000 0.000 1
Ba2 Ba 0.500 0.500 0.000 1
Pt1 Pt 0.130 0.630 0.500 1
Pt2 Pt 0.630 0.870 0.500 1
Pt3 Pt 0.870 0.370 0.500 1
Pt4 Pt 0.370 0.130 0.500 1